No. 1
# LiMgTa2Sb (SCAN, single point on PBEsol structure)
data_LiMgTa2Sb
_chemical_formula_sum 'Li1 Mg1 Ta2 Sb1'
_cell_length_a 4.485
_cell_length_b 4.485
_cell_length_c 4.466
_cell_angle_alpha 90.00
_cell_angle_beta 90.00
_cell_angle_gamma 90.00
_space_group_name_H-M_alt 'P 4/m m m'
_space_group_IT_number 123
_space_group_name_Hall '-P 4 2'
loop_
_atom_site_label
_atom_site_type_symbol
_atom_site_fract_x
_atom_site_fract_y
_atom_site_fract_z
Li1 Li 0.000 0.000 0.000
Mg1 Mg 0.500 0.500 0.500
Ta1 Ta 0.000 0.500 0.000
Sb1 Sb 0.000 0.000 0.500
# DOS at the Fermi energy = 0.68 states/eV per atom
# spin magnetization = 0.000 μB/f.u.
# electronic total energy = -34.60 eV/atom
# ρ = 9.5 g/cm³



No. 2
# Li2MgSc (SCAN, single point on PBEsol structure)
data_Li2MgSc
_chemical_formula_sum 'Li2 Mg1 Sc1'
_cell_length_a 3.335
_cell_length_b 3.335
_cell_length_c 7.412
_cell_angle_alpha 90.00
_cell_angle_beta 90.00
_cell_angle_gamma 90.00
_space_group_name_H-M_alt 'P 4 m m'
_space_group_IT_number 99
loop_
_space_group_symop_operation_xyz
'x,y,z'
'-y,x,z'
'-x,-y,z'
'y,-x,z'
'-x,y,z'
'y,x,z'
'x,-y,z'
'-y,-x,z'
loop_
_atom_site_label
_atom_site_type_symbol
_atom_site_fract_x
_atom_site_fract_y
_atom_site_fract_z
Li1 Li 0.000 0.000 0.000
Li2 Li 0.500 0.500 0.213
Mg1 Mg 0.000 0.000 0.455
Sc1 Sc 0.500 0.500 0.732
# DOS at the Fermi energy = 0.92 states/eV per atom
# spin magnetization = 0.557 μB/f.u.
# calculated formation energy = 0.044 eV per atom
# ρ = 1.7 g/cm³



No. 3
# LiMg2Sc (SCAN, single point on PBEsol structure)
data_LiMg2Sc
_chemical_formula_sum 'Li4 Mg8 Sc4'
_cell_length_a 6.951
_cell_length_b 6.951
_cell_length_c 6.951
_cell_angle_alpha 90.00
_cell_angle_beta 90.00
_cell_angle_gamma 90.00
_space_group_name_H-M_alt 'F -4 3 m'
_space_group_IT_number 216
_space_group_name_Hall 'F -4 2 3'
loop_
_atom_site_label
_atom_site_type_symbol
_atom_site_fract_x
_atom_site_fract_y
_atom_site_fract_z
Li1 Li 0.000 0.000 0.000
Mg1 Mg 0.000 0.000 0.500
Mg2 Mg 0.250 0.250 0.250
Sc1 Sc 0.250 0.250 0.750
# DOS at the Fermi energy = 0.61 states/eV per atom
# excess energy over the best structure of this formula in the dataset = 0.34 eV per formula unit
# spin magnetization = 0.005 μB/f.u.
# calculated formation energy = 0.035 eV per atom
# ρ = 2.0 g/cm³



No. 4
# LiMg2Sc (SCAN, single point on PBEsol structure)
data_LiMg2Sc
_chemical_formula_sum 'Li1 Mg2 Sc1'
_cell_length_a 3.390
_cell_length_b 3.390
_cell_length_c 7.384
_cell_angle_alpha 90.00
_cell_angle_beta 90.00
_cell_angle_gamma 90.00
_space_group_name_H-M_alt 'P 4/m m m'
_space_group_IT_number 123
_space_group_name_Hall '-P 4 2'
loop_
_atom_site_label
_atom_site_type_symbol
_atom_site_fract_x
_atom_site_fract_y
_atom_site_fract_z
Li1 Li 0.000 0.000 0.000
Mg1 Mg 0.500 0.500 0.230
Sc1 Sc 0.000 0.000 0.500
# DOS at the Fermi energy = 0.65 states/eV per atom
# excess energy over the best structure of this formula in the dataset = 0.00 eV per formula unit
# spin magnetization = 0.727 μB/f.u.
# calculated formation energy = -0.049 eV per atom
# ρ = 2.0 g/cm³



No. 5
# LiMg2Sc (SCAN, single point on PBEsol structure)
data_LiMg2Sc
_chemical_formula_sum 'Li4 Mg8 Sc4'
_cell_length_a 6.997
_cell_length_b 6.997
_cell_length_c 6.997
_cell_angle_alpha 90.00
_cell_angle_beta 90.00
_cell_angle_gamma 90.00
_space_group_name_H-M_alt 'F m -3 m'
_space_group_IT_number 225
_space_group_name_Hall '-F 4 2 3'
loop_
_atom_site_label
_atom_site_type_symbol
_atom_site_fract_x
_atom_site_fract_y
_atom_site_fract_z
Li1 Li 0.000 0.000 0.000
Mg1 Mg 0.250 0.250 0.250
Sc1 Sc 0.000 0.000 0.500
# DOS at the Fermi energy = 0.84 states/eV per atom
# excess energy over the best structure of this formula in the dataset = 0.43 eV per formula unit
# spin magnetization = 0.000 μB/f.u.
# calculated formation energy = 0.058 eV per atom
# ρ = 1.9 g/cm³



No. 6
# LiMg2Sc (SCAN, single point on PBEsol structure)
data_LiMg2Sc
_chemical_formula_sum 'Li3 Mg6 Sc3'
_cell_length_a 3.1621
_cell_length_b 3.1621
_cell_length_c 30.5916
_cell_angle_alpha 90.00
_cell_angle_beta 90.00
_cell_angle_gamma 120.00
_space_group_name_H-M_alt 'R -3 m'
_space_group_IT_number 166
_space_group_name_Hall '-R 3 2"'
loop_
_atom_site_label
_atom_site_type_symbol
_atom_site_fract_x
_atom_site_fract_y
_atom_site_fract_z
Li1 Li 0.0000 0.0000 0.0000
Mg1 Mg 0.0000 0.0000 0.2526
Sc1 Sc 0.0000 0.0000 0.5000
# DOS at the Fermi energy = 0.71 states/eV per atom
# excess energy over the best structure of this formula in the dataset = 0.21 eV per formula unit
# spin magnetization = 0.709 μB/f.u.
# calculated formation energy = 0.003 eV per atom
# ρ = 1.9 g/cm³



No. 7
# LiMg2Sc (SCAN, single point on PBEsol structure)
data_LiMg2Sc
_chemical_formula_sum 'Li1 Mg2 Sc1'
_cell_length_a 3.477
_cell_length_b 3.477
_cell_length_c 7.025
_cell_angle_alpha 90.00
_cell_angle_beta 90.00
_cell_angle_gamma 90.00
_space_group_name_H-M_alt 'P 4 m m'
_space_group_IT_number 99
loop_
_space_group_symop_operation_xyz
'x,y,z'
'-y,x,z'
'-x,-y,z'
'y,-x,z'
'-x,y,z'
'y,x,z'
'x,-y,z'
'-y,-x,z'
loop_
_atom_site_label
_atom_site_type_symbol
_atom_site_fract_x
_atom_site_fract_y
_atom_site_fract_z
Li1 Li 0.000 0.000 0.000
Mg1 Mg 0.000 0.000 0.483
Mg2 Mg 0.500 0.500 0.221
Sc1 Sc 0.500 0.500 0.747
# DOS at the Fermi energy = 0.50 states/eV per atom
# excess energy over the best structure of this formula in the dataset = 0.29 eV per formula unit
# spin magnetization = 0.623 μB/f.u.
# calculated formation energy = 0.023 eV per atom
# ρ = 2.0 g/cm³



No. 8
# LiMg2Sc (SCAN, single point on PBEsol structure)
data_LiMg2Sc
_chemical_formula_sum 'Li2 Mg4 Sc2'
_cell_length_a 3.365
_cell_length_b 5.118
_cell_length_c 10.040
_cell_angle_alpha 90.00
_cell_angle_beta 90.00
_cell_angle_gamma 90.00
_space_group_name_H-M_alt 'I m m 2'
_space_group_IT_number 44
loop_
_space_group_symop_operation_xyz
'x,y,z'
'-x,-y,z'
'-x,y,z'
'x,-y,z'
'x+1/2,y+1/2,z+1/2'
'-x+1/2,-y+1/2,z+1/2'
'-x+1/2,y+1/2,z+1/2'
'x+1/2,-y+1/2,z+1/2'
loop_
_atom_site_label
_atom_site_type_symbol
_atom_site_fract_x
_atom_site_fract_y
_atom_site_fract_z
Li1 Li 0.000 0.000 0.000
Mg1 Mg 0.000 0.000 0.477
Mg2 Mg 0.000 0.500 0.726
Sc1 Sc 0.000 0.500 0.243
# DOS at the Fermi energy = 0.61 states/eV per atom
# excess energy over the best structure of this formula in the dataset = 0.36 eV per formula unit
# spin magnetization = 0.046 μB/f.u.
# calculated formation energy = 0.040 eV per atom
# ρ = 1.9 g/cm³



No. 9
# LiMg2Sc (SCAN, single point on PBEsol structure)
data_LiMg2Sc
_chemical_formula_sum 'Li2 Mg4 Sc2'
_cell_length_a 10.302
_cell_length_b 3.080
_cell_length_c 5.565
_cell_angle_alpha 90.00
_cell_angle_beta 97.28
_cell_angle_gamma 90.00
_space_group_name_H-M_alt 'C 1 m 1'
_space_group_IT_number 8
loop_
_space_group_symop_operation_xyz
'x,y,z'
'x,-y,z'
'x+1/2,y+1/2,z'
'x+1/2,-y+1/2,z'
loop_
_atom_site_label
_atom_site_type_symbol
_atom_site_fract_x
_atom_site_fract_y
_atom_site_fract_z
Li1 Li 0.000 0.000 0.000
Mg1 Mg 0.005 0.500 0.501
Mg2 Mg 0.254 0.000 0.761
Sc1 Sc 0.256 0.500 0.259
# DOS at the Fermi energy = 0.52 states/eV per atom
# excess energy over the best structure of this formula in the dataset = 0.34 eV per formula unit
# spin magnetization = 0.047 μB/f.u.
# calculated formation energy = 0.037 eV per atom
# ρ = 1.9 g/cm³



No. 10
# LiMg2Sc (SCAN, single point on PBEsol structure)
data_LiMg2Sc
_chemical_formula_sum 'Li1 Mg2 Sc1'
_cell_length_a 5.119
_cell_length_b 5.119
_cell_length_c 3.378
_cell_angle_alpha 90.00
_cell_angle_beta 90.00
_cell_angle_gamma 90.00
_space_group_name_H-M_alt 'P 4/m m m'
_space_group_IT_number 123
_space_group_name_Hall '-P 4 2'
loop_
_atom_site_label
_atom_site_type_symbol
_atom_site_fract_x
_atom_site_fract_y
_atom_site_fract_z
Li1 Li 0.000 0.000 0.000
Mg1 Mg 0.000 0.500 0.500
Sc1 Sc 0.500 0.500 0.000
# DOS at the Fermi energy = 0.79 states/eV per atom
# excess energy over the best structure of this formula in the dataset = 0.25 eV per formula unit
# spin magnetization = 0.667 μB/f.u.
# calculated formation energy = 0.015 eV per atom
# ρ = 1.9 g/cm³



No. 11
# Li2MgSc (SCAN, single point on PBEsol structure)
data_Li2MgSc
_chemical_formula_sum 'Li4 Mg2 Sc2'
_cell_length_a 3.616
_cell_length_b 4.861
_cell_length_c 9.714
_cell_angle_alpha 90.00
_cell_angle_beta 90.00
_cell_angle_gamma 90.00
_space_group_name_H-M_alt 'C m m 2'
_space_group_IT_number 35
loop_
_space_group_symop_operation_xyz
'x,y,z'
'-x,-y,z'
'-x,y,z'
'x,-y,z'
'x+1/2,y+1/2,z'
'-x+1/2,-y+1/2,z'
'-x+1/2,y+1/2,z'
'x+1/2,-y+1/2,z'
loop_
_atom_site_label
_atom_site_type_symbol
_atom_site_fract_x
_atom_site_fract_y
_atom_site_fract_z
Li1 Li 0.000 0.000 0.000
Li2 Li 0.000 0.500 0.240
Mg1 Mg 0.000 0.500 0.757
Sc1 Sc 0.000 0.000 0.496
# DOS at the Fermi energy = 0.72 states/eV per atom
# spin magnetization = 0.016 μB/f.u.
# calculated formation energy = 0.057 eV per atom
# ρ = 1.6 g/cm³



No. 12
# Li2MgSc (SCAN, single point on PBEsol structure)
data_Li2MgSc
_chemical_formula_sum 'Li4 Mg2 Sc2'
_cell_length_a 10.257
_cell_length_b 3.065
_cell_length_c 5.472
_cell_angle_alpha 90.00
_cell_angle_beta 98.58
_cell_angle_gamma 90.00
_space_group_name_H-M_alt 'C 1 2/m 1'
_space_group_IT_number 12
loop_
_space_group_symop_operation_xyz
'x,y,z'
'-x,-y,-z'
'-x,y,-z'
'x,-y,z'
'x+1/2,y+1/2,z'
'-x+1/2,-y+1/2,-z'
'-x+1/2,y+1/2,-z'
'x+1/2,-y+1/2,z'
loop_
_atom_site_label
_atom_site_type_symbol
_atom_site_fract_x
_atom_site_fract_y
_atom_site_fract_z
Li1 Li 0.246 0.000 0.243
Mg1 Mg 0.000 0.500 0.000
Sc1 Sc 0.000 0.000 0.500
# DOS at the Fermi energy = 0.68 states/eV per atom
# spin magnetization = 0.190 μB/f.u.
# calculated formation energy = 0.094 eV per atom
# ρ = 1.6 g/cm³



No. 13
# Li2Mg2Sc (SCAN, single point on PBEsol structure)
data_Li2Mg2Sc
_chemical_formula_sum 'Li4 Mg4 Sc2'
_cell_length_a 7.963
_cell_length_b 7.963
_cell_length_c 3.205
_cell_angle_alpha 90.00
_cell_angle_beta 90.00
_cell_angle_gamma 90.00
_space_group_name_H-M_alt 'P 4/m b m'
_space_group_IT_number 127
_space_group_name_Hall '-P 4 2ab'
loop_
_atom_site_label
_atom_site_type_symbol
_atom_site_fract_x
_atom_site_fract_y
_atom_site_fract_z
Li1 Li 0.122 0.378 0.000
Mg1 Mg 0.178 0.678 0.500
Sc1 Sc 0.000 0.000 0.000
# DOS at the Fermi energy = 0.72 states/eV per atom
# spin magnetization = 0.293 μB/f.u.
# calculated formation energy = 0.035 eV per atom
# ρ = 1.8 g/cm³



No. 14
# Li2MgSe (SCAN, single point on PBEsol structure)
data_Li2MgSe
_chemical_formula_sum 'Li2 Mg1 Se1'
_cell_length_a 4.155
_cell_length_b 4.155
_cell_length_c 3.962
_cell_angle_alpha 90.00
_cell_angle_beta 90.00
_cell_angle_gamma 90.00
_space_group_name_H-M_alt 'P 4/m m m'
_space_group_IT_number 123
_space_group_name_Hall '-P 4 2'
loop_
_atom_site_label
_atom_site_type_symbol
_atom_site_fract_x
_atom_site_fract_y
_atom_site_fract_z
Li1 Li 0.000 0.500 0.000
Mg1 Mg 0.000 0.000 0.500
Se1 Se 0.500 0.500 0.500
# DOS at the Fermi energy = 0.05 states/eV per atom
# excess energy over the best structure of this formula in the dataset = 0.00 eV per formula unit
# spin magnetization = 0.000 μB/f.u.
# ρ = 2.8 g/cm³



No. 15
# LiMg2Se (SCAN, single point on PBEsol structure)
data_LiMg2Se
_chemical_formula_sum 'Li2 Mg4 Se2'
_cell_length_a 4.023
_cell_length_b 4.023
_cell_length_c 9.611
_cell_angle_alpha 90.00
_cell_angle_beta 90.00
_cell_angle_gamma 90.00
_space_group_name_H-M_alt 'I 4/m m m'
_space_group_IT_number 139
_space_group_name_Hall '-I 4 2'
loop_
_atom_site_label
_atom_site_type_symbol
_atom_site_fract_x
_atom_site_fract_y
_atom_site_fract_z
Li1 Li 0.000 0.000 0.000
Mg1 Mg 0.000 0.500 0.250
Se1 Se 0.000 0.000 0.500
# DOS at the Fermi energy = 0.36 states/eV per atom
# spin magnetization = 0.000 μB/f.u.
# electronic total energy = -8.50 eV/atom
# ρ = 2.9 g/cm³



No. 16
# Li2Mg2Se (SCAN, single point on PBEsol structure)
data_Li2Mg2Se
_chemical_formula_sum 'Li4 Mg4 Se2'
_cell_length_a 6.395
_cell_length_b 6.395
_cell_length_c 4.854
_cell_angle_alpha 90.00
_cell_angle_beta 90.00
_cell_angle_gamma 90.00
_space_group_name_H-M_alt 'P 4/m b m'
_space_group_IT_number 127
_space_group_name_Hall '-P 4 2ab'
loop_
_atom_site_label
_atom_site_type_symbol
_atom_site_fract_x
_atom_site_fract_y
_atom_site_fract_z
Li1 Li 0.152 0.348 0.000
Mg1 Mg 0.168 0.668 0.500
Se1 Se 0.000 0.000 0.000
# DOS at the Fermi energy = 0.42 states/eV per atom
# spin magnetization = 0.000 μB/f.u.
# electronic total energy = -7.32 eV/atom
# ρ = 2.4 g/cm³



No. 17
# Li2MgSe (SCAN, single point on PBEsol structure)
data_Li2MgSe
_chemical_formula_sum 'Li2 Mg1 Se1'
_cell_length_a 3.547
_cell_length_b 3.547
_cell_length_c 5.685
_cell_angle_alpha 90.00
_cell_angle_beta 90.00
_cell_angle_gamma 90.00
_space_group_name_H-M_alt 'P 4/m m m'
_space_group_IT_number 123
_space_group_name_Hall '-P 4 2'
loop_
_atom_site_label
_atom_site_type_symbol
_atom_site_fract_x
_atom_site_fract_y
_atom_site_fract_z
Li1 Li 0.000 0.000 0.205
Mg1 Mg 0.500 0.500 0.500
Se1 Se 0.500 0.500 0.000
# DOS at the Fermi energy = 0.12 states/eV per atom
# excess energy over the best structure of this formula in the dataset = 0.14 eV per formula unit
# spin magnetization = 0.000 μB/f.u.
# ρ = 2.7 g/cm³



No. 18
# LiMg2Se (SCAN, single point on PBEsol structure)
data_LiMg2Se
_chemical_formula_sum 'Li2 Mg4 Se2'
_cell_length_a 8.407
_cell_length_b 3.576
_cell_length_c 6.349
_cell_angle_alpha 90.00
_cell_angle_beta 109.85
_cell_angle_gamma 90.00
_space_group_name_H-M_alt 'C 1 m 1'
_space_group_IT_number 8
loop_
_space_group_symop_operation_xyz
'x,y,z'
'x,-y,z'
'x+1/2,y+1/2,z'
'x+1/2,-y+1/2,z'
loop_
_atom_site_label
_atom_site_type_symbol
_atom_site_fract_x
_atom_site_fract_y
_atom_site_fract_z
Li1 Li 0.000 0.000 0.000
Mg1 Mg 0.141 0.000 0.603
Mg2 Mg 0.349 0.000 0.306
Se1 Se 0.195 0.500 0.948
# DOS at the Fermi energy = 0.21 states/eV per atom
# spin magnetization = 0.000 μB/f.u.
# electronic total energy = -8.67 eV/atom
# ρ = 2.5 g/cm³



No. 19
# LiMgSe2 (SCAN, single point on PBEsol structure)
data_LiMgSe2
_chemical_formula_sum 'Li2 Mg2 Se4'
_cell_length_a 4.637
_cell_length_b 4.637
_cell_length_c 6.955
_cell_angle_alpha 90.00
_cell_angle_beta 90.00
_cell_angle_gamma 90.00
_space_group_name_H-M_alt 'I 4/m m m'
_space_group_IT_number 139
_space_group_name_Hall '-I 4 2'
loop_
_atom_site_label
_atom_site_type_symbol
_atom_site_fract_x
_atom_site_fract_y
_atom_site_fract_z
Li1 Li 0.000 0.000 0.000
Mg1 Mg 0.000 0.000 0.500
Se1 Se 0.000 0.500 0.250
# DOS at the Fermi energy = 0.42 states/eV per atom
# spin magnetization = 0.000 μB/f.u.
# electronic total energy = -12.69 eV/atom
# ρ = 4.2 g/cm³



No. 20
# LiMg2Se (SCAN, single point on PBEsol structure)
data_LiMg2Se
_chemical_formula_sum 'Li4 Mg8 Se4'
_cell_length_a 8.853
_cell_length_b 8.853
_cell_length_c 4.996
_cell_angle_alpha 90.00
_cell_angle_beta 90.00
_cell_angle_gamma 90.00
_space_group_name_H-M_alt 'I -4 2 d'
_space_group_IT_number 122
_space_group_name_Hall 'I -4 2bw'
loop_
_atom_site_label
_atom_site_type_symbol
_atom_site_fract_x
_atom_site_fract_y
_atom_site_fract_z
Li1 Li 0.000 0.000 0.000
Mg1 Mg 0.160 0.250 0.625
Se1 Se 0.000 0.000 0.500
# DOS at the Fermi energy = 0.27 states/eV per atom
# spin magnetization = 0.000 μB/f.u.
# electronic total energy = -8.58 eV/atom
# ρ = 2.3 g/cm³